Record 1
Computed, not measured: a relaxed structure of CaDyGa6 at the PBE level of DFT.

CIF file:
```
data_CaDyGa6
_chemical_formula_sum 'Ca1 Dy1 Ga6'
_symmetry_space_group_name_H-M 'P m m 2'
_symmetry_Int_Tables_number 25
_cell_length_a 4.419
_cell_length_b 6.017
_cell_length_c 6.110
_cell_angle_alpha 90.00
_cell_angle_beta 90.00
_cell_angle_gamma 90.00
loop_
_symmetry_equiv_pos_as_xyz
'x,y,z'
'-x,-y,z'
'-x,y,z'
'x,-y,z'
loop_
_atom_site_label
_atom_site_type_symbol
_atom_site_fract_x
_atom_site_fract_y
_atom_site_fract_z
Ca1 Ca 0.000 0.000 0.000
Dy1 Dy 0.500 0.500 0.787
Ga1 Ga 0.000 0.258 0.533
Ga2 Ga 0.000 0.500 0.137
Ga3 Ga 0.500 0.000 0.645
Ga4 Ga 0.500 0.249 0.254
```

DFT formation energy: -0.4147 eV/atom

***

Record 2
Computed, not measured: a relaxed structure of TbFeH at the PBE level of DFT.

CIF file:
```
data_TbFeH
_chemical_formula_sum 'Tb4 Fe4 H4'
_symmetry_space_group_name_H-M 'C m c m'
_symmetry_Int_Tables_number 63
_symmetry_space_group_name_Hall '-C 2c 2'
_cell_length_a 3.105
_cell_length_b 15.655
_cell_length_c 3.558
_cell_angle_alpha 90.00
_cell_angle_beta 90.00
_cell_angle_gamma 90.00
loop_
_atom_site_label
_atom_site_type_symbol
_atom_site_fract_x
_atom_site_fract_y
_atom_site_fract_z
Tb1 Tb 0.000 0.097 0.250
Fe1 Fe 0.000 0.242 0.750
H1 H 0.000 0.454 0.250
```

***

Record 3
Computed, not measured: a relaxed structure of LaPmMnCd at the PBE level of DFT.

CIF file:
```
data_LaPmMnCd
_chemical_formula_sum 'La4 Pm4 Mn4 Cd4'
_symmetry_space_group_name_H-M 'F -4 3 m'
_symmetry_Int_Tables_number 216
_symmetry_space_group_name_Hall 'F -4 2 3'
_cell_length_a 7.594
_cell_length_b 7.594
_cell_length_c 7.594
_cell_angle_alpha 90.00
_cell_angle_beta 90.00
_cell_angle_gamma 90.00
loop_
_atom_site_label
_atom_site_type_symbol
_atom_site_fract_x
_atom_site_fract_y
_atom_site_fract_z
La1 La 0.000 0.000 0.000
Pm1 Pm 0.000 0.000 0.500
Mn1 Mn 0.250 0.250 0.750
Cd1 Cd 0.250 0.250 0.250
```

DFT formation energy: 0.0134 eV/atom

***

no.,E_tot (eV/atom)
1,-3.51
2,-5.47
3,-4.93